[1]
Compound: Ba6NaPt3
Source: the Alexandria database
Functional: GGA-PBE
Structure: optimized geometry

Lattice parameters (Å, degrees): 13.0465 4.5804 16.2996 90.00 109.55 90.00
Closest atoms and distances in Å follow each position.
Fractional positions:
Ba  0.0314  0.2500  0.2748  3 Pt 3.11-3.20
Ba  0.1357  0.2500  0.0722  3 Pt 3.21
Ba  0.1619  0.2500  0.5751  3 Pt 3.15
Ba  0.2399  0.2500  0.8527  3 Pt 3.13-3.27
Ba  0.3583  0.7500  0.4304  3 Pt 3.14-3.17
Ba  0.4464  0.7500  0.7139  3 Pt 3.16-3.18
Ba  0.5536  0.2500  0.2861  3 Pt 3.16-3.18
Ba  0.6417  0.2500  0.5696  3 Pt 3.14-3.17
Ba  0.7601  0.7500  0.1473  3 Pt 3.13-3.27
Ba  0.8381  0.7500  0.4249  3 Pt 3.15
Ba  0.8643  0.7500  0.9278  3 Pt 3.21
Ba  0.9686  0.7500  0.7252  3 Pt 3.11-3.20
Na  0.4248  0.7500  0.0576  2 Na 3.89, 5 Ba 4.10-4.21
Na  0.5752  0.2500  0.9424  2 Na 3.89, 5 Ba 4.10-4.21
Pt  0.0033  0.7500  0.1319  6 Ba 3.20-3.27
Pt  0.2026  0.7500  0.7147  6 Ba 3.11-3.18
Pt  0.4018  0.2500  0.5723  6 Ba 3.14-3.17
Pt  0.5982  0.7500  0.4277  6 Ba 3.14-3.17
Pt  0.7974  0.2500  0.2853  6 Ba 3.11-3.18
Pt  0.9967  0.2500  0.8681  6 Ba 3.20-3.27

Values from the calculation:
Mass density in g cm⁻³: 5.182
Space group: P2_1/m (11)
ΔE_f in eV/atom: -0.523
Size of the total moment in Bohr magnetons per cell: 0.000
VASP energy in eV per atom: -3.6207



[2]
Compound: Rb2PaZnO6
Source: the Alexandria database
Functional: GGA-PBE
Structure: optimized geometry

Lattice parameters (Å, degrees): 5.9684 5.9684 5.9684 60.00 60.00 60.00
Closest atoms and distances in Å follow each position.
Fractional positions:
Rb  0.2500  0.2500  0.2500  12 O 2.98
Rb  0.7500  0.7500  0.7500  12 O 2.98
Pa  0.0000  0.0000  0.0000  6 O 2.10
Zn  0.5000  0.5000  0.5000  6 O 2.12
O  0.2491  0.2491  0.7509  1 Pa 2.10, 1 Zn 2.12
O  0.2491  0.7509  0.2491  1 Pa 2.10, 1 Zn 2.12
O  0.2491  0.7509  0.7509  1 Pa 2.10, 1 Zn 2.12
O  0.7509  0.2491  0.2491  1 Pa 2.10, 1 Zn 2.12
O  0.7509  0.2491  0.7509  1 Pa 2.10, 1 Zn 2.12
O  0.7509  0.7509  0.2491  1 Pa 2.10, 1 Zn 2.12

Values from the calculation:
Mass density in g cm⁻³: 6.223
Space group: Fm-3m (225)
Size of the total moment in Bohr magnetons per cell: 0.000
VASP energy in eV per atom: -6.0578
Formation energy from raw total energies in eV per atom: -1.812



[3]
Compound: NaLi2TlBr6
Source: the Alexandria database
Functional: GGA-PBE
Structure: optimized geometry

Lattice parameters (Å, degrees): 7.6650 7.6650 7.6650 54.82 54.82 54.82
Closest atoms and distances in Å follow each position.
Fractional positions:
Na  0.0000  0.0000  0.0000  6 Br 2.90-3.09
Li  0.3006  0.3006  0.3006  6 Br 2.79-2.82
Li  0.8020  0.8020  0.8020  6 Br 2.70-2.85
Tl  0.4891  0.4891  0.4891  6 Br 2.79-2.84
Br  0.0714  0.6800  0.4306  2 Li 2.70-2.82, 1 Tl 2.84, 1 Na 2.90
Br  0.2071  0.5690  0.8986  1 Tl 2.79, 2 Li 2.79-2.85, 1 Na 3.09
Br  0.4306  0.0714  0.6800  2 Li 2.70-2.82, 1 Tl 2.84, 1 Na 2.90
Br  0.5690  0.8986  0.2071  1 Tl 2.79, 2 Li 2.79-2.85, 1 Na 3.09
Br  0.6800  0.4306  0.0714  2 Li 2.70-2.82, 1 Tl 2.84, 1 Na 2.90
Br  0.8986  0.2071  0.5690  1 Tl 2.79, 2 Li 2.79-2.85, 1 Na 3.09

Values from the calculation:
Mass density in g cm⁻³: 4.273
Space group: R3 (146)
Size of the total moment in Bohr magnetons per cell: 0.000
VASP energy in eV per atom: -2.8395
Formation energy from raw total energies in eV per atom: -1.084



[4]
Compound: CaPaAgS4
Source: the Alexandria database
Functional: GGA-PBE
Structure: optimized geometry

Lattice parameters (Å, degrees): 8.0087 8.0087 8.0087 120.86 118.50 90.57
Closest atoms and distances in Å follow each position.
Fractional positions:
Ca  0.5000  0.0000  0.0000  6 S 2.81-2.85
Ca  0.5000  0.5000  0.5000  6 S 2.81-2.85
Pa  0.0000  0.0000  0.0000  6 S 2.59-2.71
Pa  0.5000  0.0000  0.5000  6 S 2.59-2.71
Ag  0.1115  0.3615  0.7500  4 S 2.58-2.66
Ag  0.8885  0.6385  0.2500  4 S 2.58-2.66
S  0.2373  0.2296  0.0078  1 Ag 2.58, 1 Pa 2.59, 2 Ca 2.81
S  0.2474  0.2216  0.4742  1 Ag 2.66, 2 Pa 2.71, 1 Ca 2.85
S  0.2474  0.7733  0.0258  1 Ag 2.66, 2 Pa 2.71, 1 Ca 2.85
S  0.2782  0.7704  0.5078  1 Ag 2.58, 1 Pa 2.59, 2 Ca 2.81
S  0.7218  0.2296  0.4922  1 Ag 2.58, 1 Pa 2.59, 2 Ca 2.81
S  0.7526  0.2267  0.9742  1 Ag 2.66, 2 Pa 2.71, 1 Ca 2.85
S  0.7526  0.7784  0.5258  1 Ag 2.66, 2 Pa 2.71, 1 Ca 2.85
S  0.7627  0.7704  0.9922  1 Ag 2.58, 1 Pa 2.59, 2 Ca 2.81

Values from the calculation:
Mass density in g cm⁻³: 4.618
Space group: Imma (74)
Size of the total moment in Bohr magnetons per cell: 0.000
VASP energy in eV per atom: -5.8098
Formation energy from raw total energies in eV per atom: -1.401



Copy entry 1 word for word.
Compound: Ba6NaPt3
Source: the Alexandria database
Functional: GGA-PBE
Structure: optimized geometry

Lattice parameters (Å, degrees): 13.0465 4.5804 16.2996 90.00 109.55 90.00
Closest atoms and distances in Å follow each position.
Fractional positions:
Ba  0.0314  0.2500  0.2748  3 Pt 3.11-3.20
Ba  0.1357  0.2500  0.0722  3 Pt 3.21
Ba  0.1619  0.2500  0.5751  3 Pt 3.15
Ba  0.2399  0.2500  0.8527  3 Pt 3.13-3.27
Ba  0.3583  0.7500  0.4304  3 Pt 3.14-3.17
Ba  0.4464  0.7500  0.7139  3 Pt 3.16-3.18
Ba  0.5536  0.2500  0.2861  3 Pt 3.16-3.18
Ba  0.6417  0.2500  0.5696  3 Pt 3.14-3.17
Ba  0.7601  0.7500  0.1473  3 Pt 3.13-3.27
Ba  0.8381  0.7500  0.4249  3 Pt 3.15
Ba  0.8643  0.7500  0.9278  3 Pt 3.21
Ba  0.9686  0.7500  0.7252  3 Pt 3.11-3.20
Na  0.4248  0.7500  0.0576  2 Na 3.89, 5 Ba 4.10-4.21
Na  0.5752  0.2500  0.9424  2 Na 3.89, 5 Ba 4.10-4.21
Pt  0.0033  0.7500  0.1319  6 Ba 3.20-3.27
Pt  0.2026  0.7500  0.7147  6 Ba 3.11-3.18
Pt  0.4018  0.2500  0.5723  6 Ba 3.14-3.17
Pt  0.5982  0.7500  0.4277  6 Ba 3.14-3.17
Pt  0.7974  0.2500  0.2853  6 Ba 3.11-3.18
Pt  0.9967  0.2500  0.8681  6 Ba 3.20-3.27

Values from the calculation:
Mass density in g cm⁻³: 5.182
Space group: P2_1/m (11)
ΔE_f in eV/atom: -0.523
Size of the total moment in Bohr magnetons per cell: 0.000
VASP energy in eV per atom: -3.6207



Which of these has the highest mass density?
Rb2PaZnO6



Which of these has the highest mass density?
Rb2PaZnO6